(1)
VASP calculation (PBE) on a geometry-optimized CaPr2Re2N6 structure.

Output
The space group is R-3m, No. 166. The calculation puts the magnetic moment at 0.00 μB/atom. As for the crystal system: trigonal. The calculation puts the formation energy from raw total energies at -678.1 kJ/mol of formula units. The mass density comes out at 7.3 Mg/m³.

Cell lengths 5.804, 5.804, 6.950 Å; angles 65.32, 65.32, 60.00 degrees
Positions (direct):
N1 0.772 0.262 0.703
N2 0.738 0.738 0.297
N3 0.262 0.772 0.703
N4 0.738 0.228 0.297
N5 0.262 0.262 0.703
N6 0.228 0.738 0.297
Re1 0.403 0.403 0.792
Re2 0.597 0.597 0.208
Pr1 0.792 0.792 0.623
Pr2 0.208 0.208 0.377
Ca1 0.000 0.000 0.000

---

(2)
VASP calculation (PBE) on a geometry-optimized YSi2Ir2 structure.

Output
The space group is I4/mmm, No. 139. The calculation puts the magnetic moment at 0.00 μB/atom. As for the crystal system: tetragonal. The calculation puts the formation energy from raw total energies at -523.1 kJ/mol of formula units. The mass density comes out at 10.6 Mg/m³.

Cell lengths 4.083, 4.083, 5.771 Å; angles 110.77, 110.77, 90.00 degrees
Positions (direct):
Ir1 0.750 0.250 0.500
Ir2 0.250 0.750 0.500
Y1 0.000 0.000 0.000
Si1 0.621 0.621 0.243
Si2 0.379 0.379 0.757